# 1
Computed, not measured: a relaxed AgP2SO crystal at the PBEsol level of DFT.

Geometry as POSCAR:
```
AgP2SO
1.0
3.316 0.000 0.000
0.000 4.689 0.000
0.000 0.000 4.689
P S O Ag
2 1 1 1
direct
0.000 0.500 0.000
0.000 0.000 0.500
0.000 0.000 0.000
0.500 0.000 0.000
0.500 0.500 0.500
```

formation energy without anion corrections	0.39	eV per atom
electronic total energy	-4.51	eV per atom
N(E_F)	1.4	states/eV/f.u.
space group	P4/mmm, No. 123


# 2
Computed, not measured: a relaxed InAgW2 crystal at the PBEsol level of DFT.

Geometry as POSCAR:
```
InAgW2
1.0
4.138 0.000 0.000
0.000 4.138 0.000
-2.069 -2.069 3.905
In W Ag
1 2 1
direct
0.250 0.750 0.500
0.750 0.250 0.500
0.000 0.000 0.000
0.500 0.500 0.000
```

electronic total energy	-7.83	eV per atom
N(E_F)	2.5	states/eV/f.u.
space group	I-4m2, No. 119
formation energy	0.647	eV/atom


electronic total energy of number 1 (AgP2SO)? -4.51 eV per atom